1.
Entry from the Alexandria database: Na2GePb after structural relaxation (GGA-PBE).

Output
Calculated density = 5.1 g cm⁻³
Magnetic moment = 0.00 μB/cell
Energy = -2.685 eV per atom
Formation enthalpy at 0 K = 56 meV per atom
Energy relative to the lowest polymorph listed for this composition = 116 meV/atom

abc: 3.4061 3.4061 31.4046
angles: 90.00 90.00 120.00
Space group R-3m (No. 166, hexagonal axes)
One atom of each set of equivalent atoms:
1 Na 0.0000 0.0000 0.2433
2 Ge 0.0000 0.0000 0.5000
3 Pb 0.0000 0.0000 0.0000

---

2.
Entry from the Alexandria database: NaGePb2 after structural relaxation (GGA-PBE).

Output
Calculated density = 7.5 g cm⁻³
Magnetic moment = 0.00 μB/cell
Energy = -3.282 eV per atom
Formation enthalpy at 0 K = 56 meV per atom

abc: 3.6273 3.6273 29.7068
angles: 90.00 90.00 120.00
Space group R-3m (No. 166, hexagonal axes)
One atom of each set of equivalent atoms:
1 Na 0.0000 0.0000 0.0000
2 Ge 0.0000 0.0000 0.5000
3 Pb 0.0000 0.0000 0.2422

---

3.
Entry from the Alexandria database: Na2GePb2 after structural relaxation (GGA-PBE).

Output
Calculated density = 6.4 g cm⁻³
Magnetic moment = 0.00 μB/cell
Energy = -2.825 eV per atom
Formation enthalpy at 0 K = 110 meV per atom
Energy relative to the lowest polymorph listed for this composition = 144 meV/atom

abc: 8.520 8.520 3.798
angles: 90.00 90.00 90.00
Space group P4/mbm (No. 127)
One atom of each set of equivalent atoms:
1 Na 0.170 0.330 0.000
2 Ge 0.000 0.000 0.500
3 Pb 0.133 0.633 0.500